[1]
Crystalline LiZr2SnO at its relaxed geometry, computed with PBE.

## Properties
crystal system	tetragonal
formation energy (no corrections)	-121.46	kJ per mole of atoms
symmetry	P4/mmm, No. 123
ΔE to the lowest computed polymorph	0.000	eV per atom

Cell lengths 4.523, 4.523, 4.124 Å; angles 90.00, 90.00, 90.00 degrees
Positions (direct):
Zr1 0.500 0.000 0.000
Zr2 0.000 0.500 0.000
O1 0.000 0.000 0.000
Sn1 0.500 0.500 0.500
Li1 0.000 0.000 0.500


[2]
Crystalline SrLiO4 at its relaxed geometry, computed with PBE.

## Properties
crystal system	monoclinic
formation energy (no corrections)	-125.88	kJ per mole of atoms
symmetry	C2/m, No. 12

Cell lengths 6.210, 6.210, 4.082 Å; angles 92.67, 103.28, 144.93 degrees
Each line ends with the local moment (μB).
Positions (direct):
O1 0.325 0.599 0.924  0.20
O2 0.469 0.213 0.682  0.23
O3 0.531 0.787 0.318  0.23
Sr1 0.000 0.000 0.000  0.00
Li1 0.000 0.500 0.500  0.00
O4 0.675 0.401 0.076  0.20


Result set for volume: 84, 80 Å³/cell, one per record in the order listed.
Result set for energy: -6.8531, -5.2095 eV per atom, one per record in the order listed.